(1)
Material: Ga2Ag5F12
Method: DFT, GGA-PBE
State: optimized geometry

```
Ga2Ag5F12
1.0
6.518 -3.062 0.000
6.518 3.062 0.000
-2.600 0.000 7.278
Ga Ag F
2 5 12
Cartesian
6.518 1.537 0.000 Ga
6.518 -1.537 0.000 Ga
-1.300 0.000 3.639 Ag
2.231 0.000 4.311 Ag
3.470 0.000 1.362 Ag
6.966 0.000 5.916 Ag
8.205 0.000 2.967 Ag
-0.300 0.000 1.224 F
3.619 1.616 3.173 F
2.128 1.473 6.821 F
6.816 1.616 4.104 F
8.308 1.473 0.457 F
4.241 0.000 6.026 F
6.195 0.000 1.252 F
2.128 -1.473 6.821 F
3.619 -1.616 3.173 F
8.308 -1.473 0.457 F
6.816 -1.616 4.104 F
10.736 0.000 6.054 F
```

Summary:
Formation energy from raw total energies   -1.70 eV per atom
D(E_F)   3.25 states/eV/cell

***

(2)
Material: GaAg3F8
Method: DFT, GGA-PBE
State: optimized geometry

```
GaAg3F8
1.0
2.834 -5.446 0.000
2.834 5.446 0.000
0.000 0.000 6.606
Ga Ag F
1 3 8
Cartesian
0.000 0.000 0.000 Ga
0.000 0.000 3.303 Ag
1.417 2.723 1.626 Ag
1.417 -2.723 4.979 Ag
2.834 3.430 0.000 F
2.834 3.317 3.303 F
1.310 0.155 1.369 F
1.310 -0.155 5.237 F
4.358 0.155 5.237 F
4.358 -0.155 1.369 F
2.834 -3.317 3.303 F
2.834 -3.430 0.000 F
```

Summary:
Formation energy from raw total energies   -1.59 eV per atom
D(E_F)   4.67 states/eV/cell

***

(3)
Material: GaAg4F6
Method: DFT, GGA-PBE
State: optimized geometry

```
GaAg4F6
1.0
6.993 0.000 0.000
0.000 6.993 0.000
0.000 0.000 7.182
Ga Ag F
2 8 12
Cartesian
0.000 0.000 0.000 Ga
3.497 3.497 3.591 Ga
0.994 2.502 1.795 Ag
0.994 2.502 5.386 Ag
2.502 5.999 1.795 Ag
2.502 5.999 5.386 Ag
4.491 0.994 1.795 Ag
4.491 0.994 5.386 Ag
5.999 4.491 1.795 Ag
5.999 4.491 5.386 Ag
0.000 0.000 1.907 F
0.000 0.000 5.275 F
0.777 5.190 0.000 F
1.693 4.274 3.591 F
1.803 0.777 0.000 F
2.720 1.693 3.591 F
3.497 3.497 1.684 F
3.497 3.497 5.498 F
4.274 5.300 3.591 F
5.190 6.216 0.000 F
5.300 2.720 3.591 F
6.216 1.803 0.000 F
```

Summary:
Formation energy from raw total energies   -1.36 eV per atom
D(E_F)   3.49 states/eV/cell

***

(4)
Material: Ga3AgF
Method: DFT, GGA-PBE
State: optimized geometry

```
Ga3AgF
1.0
5.013 0.000 0.000
0.000 5.013 0.000
0.000 0.000 5.013
Ga Ag F
3 1 1
Cartesian
0.000 0.000 2.506 Ga
0.000 2.506 0.000 Ga
2.506 0.000 0.000 Ga
0.000 0.000 0.000 Ag
2.506 2.506 2.506 F
```

Summary:
Formation energy from raw total energies   -0.12 eV per atom
D(E_F)   1.71 states/eV/cell

***

(5)
Material: GaAg5F8
Method: DFT, GGA-PBE
State: optimized geometry

```
GaAg5F8
1.0
-4.379 4.379 3.444
4.379 -4.379 3.444
4.379 4.379 -3.444
Ga Ag F
1 5 8
Cartesian
0.000 0.000 0.000 Ga
2.353 2.616 -0.623 Ag
4.379 0.000 1.722 Ag
6.141 2.353 0.623 Ag
2.026 1.763 2.821 Ag
-1.763 2.026 4.066 Ag
2.195 -0.700 2.270 F
0.335 1.537 0.905 F
2.183 5.079 -1.174 F
3.678 2.183 1.174 F
-2.842 4.043 2.539 F
2.842 4.714 2.539 F
0.700 2.195 4.617 F
-0.335 7.220 0.905 F
```

Summary:
Formation energy from raw total energies   -1.38 eV per atom

***

(6)
Material: GaAg2F8
Method: DFT, GGA-PBE
State: optimized geometry

```
GaAg2F8
1.0
6.530 0.000 0.000
-3.265 5.655 0.000
0.000 0.000 4.213
Ga Ag F
1 2 8
Cartesian
0.000 0.000 0.000 Ga
0.000 3.770 0.954 Ag
3.265 1.885 3.259 Ag
-1.877 4.844 1.049 F
0.009 1.607 1.049 F
1.396 0.796 3.165 F
0.000 3.770 3.072 F
3.265 1.885 1.141 F
1.868 4.859 1.049 F
3.256 4.048 3.165 F
5.142 0.811 3.165 F
```

Summary:
Formation energy from raw total energies   -1.47 eV per atom
D(E_F)   10.93 states/eV/cell

***

(7)
Material: GaAgF6
Method: DFT, GGA-PBE
State: optimized geometry

```
GaAgF6
1.0
5.215 0.000 0.000
0.000 5.507 0.000
-5.183 0.000 7.614
Ga Ag F
2 2 12
Cartesian
0.000 0.000 0.000 Ga
-2.592 2.753 3.807 Ga
0.016 0.000 3.807 Ag
2.608 2.753 0.000 Ag
-0.669 0.170 1.798 F
-3.261 2.584 5.605 F
0.863 3.865 0.486 F
-1.729 4.395 4.293 F
1.595 0.954 0.485 F
-0.997 1.799 4.292 F
1.029 3.708 3.322 F
-1.563 4.552 7.129 F
1.760 1.112 3.321 F
-0.831 1.642 7.128 F
3.293 2.923 2.009 F
0.701 5.337 5.817 F
```

Summary:
Formation energy from raw total energies   -1.74 eV per atom

***

(8)
Material: Ga3AgF
Method: DFT, GGA-PBE
State: optimized geometry

```
Ga3AgF
1.0
4.667 0.000 0.000
0.000 4.667 0.000
0.000 0.000 4.667
Ga Ag F
3 1 1
Cartesian
0.000 0.000 2.334 Ga
0.000 2.334 0.000 Ga
2.334 0.000 0.000 Ga
2.334 2.334 2.334 Ag
0.000 0.000 0.000 F
```

Summary:
Formation energy from raw total energies   -0.29 eV per atom
D(E_F)   1.43 states/eV/cell

***

(9)
Material: GaAg2F
Method: DFT, GGA-PBE
State: optimized geometry

```
GaAg2F
1.0
6.386 0.000 0.000
0.000 6.386 0.000
0.000 0.000 6.386
Ga Ag F
4 8 4
Cartesian
0.000 0.000 0.000 Ga
0.000 3.193 3.193 Ga
3.193 0.000 3.193 Ga
3.193 3.193 0.000 Ga
1.596 1.596 1.596 Ag
1.596 1.596 4.789 Ag
1.596 4.789 1.596 Ag
1.596 4.789 4.789 Ag
4.789 1.596 1.596 Ag
4.789 1.596 4.789 Ag
4.789 4.789 1.596 Ag
4.789 4.789 4.789 Ag
0.000 0.000 3.193 F
0.000 3.193 0.000 F
3.193 0.000 0.000 F
3.193 3.193 3.193 F
```

Summary:
Formation energy from raw total energies   -0.38 eV per atom
D(E_F)   5.54 states/eV/cell

***

(10)
Material: GaAg6F12
Method: DFT, GGA-PBE
State: optimized geometry

```
GaAg6F12
1.0
5.157 2.977 3.140
-5.157 2.977 3.140
0.000 -5.954 3.140
Ga Ag F
1 6 12
Cartesian
0.000 0.000 0.000 Ga
-2.346 0.454 3.239 Ag
0.780 -2.259 3.239 Ag
-1.566 -1.805 6.183 Ag
1.566 1.805 3.239 Ag
-0.780 2.259 6.183 Ag
2.346 -0.454 6.183 Ag
-3.603 -3.396 5.211 F
-4.742 1.422 4.210 F
-1.321 -1.977 3.845 F
1.140 -4.818 4.210 F
-2.372 0.156 5.577 F
-1.051 2.132 3.845 F
1.051 -2.132 5.577 F
2.372 -0.156 3.845 F
-1.140 4.818 5.211 F
1.321 1.977 5.577 F
4.742 -1.422 5.211 F
3.603 3.396 4.210 F
```

Summary:
Formation energy from raw total energies   -1.43 eV per atom
D(E_F)   10.36 states/eV/cell

***

(11)
Material: GaAg2F8
Method: DFT, GGA-PBE
State: optimized geometry

```
GaAg2F8
1.0
4.519 -4.120 0.000
4.519 4.120 0.000
-1.890 0.000 4.650
Ga Ag F
1 2 8
Cartesian
0.000 0.000 0.000 Ga
1.234 0.000 3.760 Ag
5.915 0.000 0.890 Ag
3.267 2.836 0.567 F
0.960 0.000 1.776 F
3.881 2.836 4.083 F
3.787 0.000 1.024 F
3.361 0.000 3.626 F
3.267 -2.836 0.567 F
6.188 0.000 2.874 F
3.881 -2.836 4.083 F
```

Summary:
Formation energy from raw total energies   -1.52 eV per atom
D(E_F)   4.12 states/eV/cell

***

(12)
Material: GaAg3F
Method: DFT, GGA-PBE
State: optimized geometry

```
GaAg3F
1.0
4.629 0.000 0.000
0.000 4.629 0.000
0.000 0.000 4.629
Ga Ag F
1 3 1
Cartesian
0.000 0.000 0.000 Ga
0.000 2.315 2.315 Ag
2.315 0.000 2.315 Ag
2.315 2.315 0.000 Ag
2.315 2.315 2.315 F
```

Summary:
Formation energy from raw total energies   -0.02 eV per atom
D(E_F)   2.19 states/eV/cell